First-principles (PBE with a Hubbard U) data for an optimized crystal structure of ScGeMoO6, as listed in Alexandria.

The value obtained for the total magnetization is 1.0 μB/f.u. The calculation puts the uncorrected energy at -134.243 eV for the cell shown. The value obtained for the density is 5.1 g/cm³.

a = 4.658 Å, b = 4.658 Å, c = 9.308 Å
α = 90.00°, β = 90.00°, γ = 90.00°
Each line ends with the local moment (μB).
Element x y z (fractional)
1 Mo 0.000 0.000 0.001  0.98
2 Sc 0.000 0.000 0.670  0.02
3 Ge 0.000 0.000 0.333  0.03
4 O 0.701 0.701 0.987  -0.02
5 Ge 0.500 0.500 0.833  0.03
6 O 0.209 0.791 0.838  0.01
7 O 0.799 0.201 0.487  -0.02
8 O 0.315 0.315 0.672  -0.01
9 O 0.685 0.685 0.672  -0.01
10 O 0.185 0.815 0.172  -0.01
11 O 0.299 0.299 0.987  -0.02
12 O 0.291 0.291 0.338  0.01
13 Sc 0.500 0.500 0.170  0.02
14 O 0.815 0.185 0.172  -0.01
15 O 0.709 0.709 0.338  0.01
16 O 0.201 0.799 0.487  -0.02
17 Mo 0.500 0.500 0.501  0.98
18 O 0.791 0.209 0.838  0.01

First-principles (PBE with a Hubbard U) data for an optimized crystal structure of GeMoSe2O, as listed in Alexandria.

The value obtained for the total magnetization is 3.6 μB/f.u. The calculation puts the uncorrected energy at -21.525 eV for the cell shown. The value obtained for the density is 6.0 g/cm³.

a = 4.736 Å, b = 4.205 Å, c = 4.736 Å
α = 90.00°, β = 90.00°, γ = 90.00°
Each line ends with the local moment (μB).
Element x y z (fractional)
1 Ge 0.000 0.500 0.000  -0.03
2 Se 0.500 0.000 0.000  -0.14
3 Mo 0.500 0.500 0.500  3.66
4 Se 0.000 0.000 0.500  -0.17
5 O 0.000 0.000 0.000  -0.02

First-principles (PBE with a Hubbard U) data for an optimized crystal structure of SnGeMoO6, as listed in Alexandria.

The value obtained for the total magnetization is 2.0 μB/f.u. The calculation puts the uncorrected energy at -120.466 eV for the cell shown. The value obtained for the density is 6.2 g/cm³.

a = 4.684 Å, b = 4.684 Å, c = 9.413 Å
α = 90.00°, β = 90.00°, γ = 90.00°
Each line ends with the local moment (μB).
Element x y z (fractional)
1 O 0.813 0.187 0.176  0.01
2 Sn 0.500 0.500 0.168  0.03
3 O 0.687 0.687 0.676  0.01
4 O 0.192 0.808 0.491  -0.02
5 Mo 0.500 0.500 0.499  1.87
6 O 0.692 0.692 0.991  -0.02
7 O 0.808 0.192 0.491  -0.02
8 O 0.792 0.208 0.834  0.01
9 O 0.708 0.708 0.334  0.01
10 Ge 0.500 0.500 0.832  0.03
11 O 0.308 0.308 0.991  -0.02
12 Mo 0.000 0.000 0.999  1.87
13 O 0.187 0.813 0.176  0.01
14 Ge 0.000 0.000 0.332  0.03
15 O 0.292 0.292 0.334  0.01
16 O 0.313 0.313 0.676  0.01
17 O 0.208 0.792 0.834  0.01
18 Sn 0.000 0.000 0.668  0.03

First-principles (PBE with a Hubbard U) data for an optimized crystal structure of Sr2GeMoO6, as listed in Alexandria.

The value obtained for the total magnetization is 2.0 μB/f.u. The calculation puts the uncorrected energy at -66.904 eV for the cell shown. The value obtained for the density is 5.8 g/cm³.

a = 3.985 Å, b = 3.985 Å, c = 7.956 Å
α = 90.00°, β = 90.00°, γ = 90.00°
Each line ends with the local moment (μB).
Element x y z (fractional)
1 Sr 0.000 0.000 0.267  0.00
2 O 0.000 0.500 0.000  -0.02
3 Sr 0.000 0.000 0.733  0.00
4 O 0.500 0.500 0.734  0.04
5 O 0.500 0.000 0.500  0.00
6 O 0.000 0.500 0.500  0.00
7 Ge 0.500 0.500 0.500  0.00
8 O 0.500 0.000 0.000  -0.02
9 Mo 0.500 0.500 0.000  1.88
10 O 0.500 0.500 0.266  0.04

First-principles (PBE with a Hubbard U) data for an optimized crystal structure of Sr3Ge2MoO8, as listed in Alexandria.

The value obtained for the total magnetization is 3.8 μB/f.u. The calculation puts the uncorrected energy at -90.292 eV for the cell shown. The value obtained for the density is 5.0 g/cm³.

a = 5.790 Å, b = 5.790 Å, c = 7.289 Å
α = 90.00°, β = 90.00°, γ = 120.00°
Each line ends with the local moment (μB).
Element x y z (fractional)
1 Sr 0.333 0.667 0.651  0.01
2 O 0.333 0.667 0.965  0.04
3 O 0.338 0.169 0.690  0.03
4 Sr 0.667 0.333 0.349  0.01
5 Ge 0.333 0.667 0.204  0.06
6 O 0.169 0.831 0.310  0.03
7 Ge 0.667 0.333 0.796  0.06
8 O 0.667 0.333 0.035  0.04
9 O 0.169 0.338 0.310  0.03
10 O 0.831 0.662 0.690  0.03
11 O 0.662 0.831 0.310  0.03
12 Sr 0.000 0.000 0.000  0.01
13 Mo 0.000 0.000 0.500  3.05
14 O 0.831 0.169 0.690  0.03

First-principles (PBE with a Hubbard U) data for an optimized crystal structure of TiGeMoO6, as listed in Alexandria.

The value obtained for the total magnetization is 2.0 μB/f.u. The calculation puts the uncorrected energy at -135.768 eV for the cell shown. The value obtained for the density is 5.3 g/cm³.

a = 4.986 Å, b = 4.986 Å, c = 9.021 Å
α = 90.00°, β = 90.00°, γ = 120.00°
Each line ends with the local moment (μB).
Element x y z (fractional)
1 O 0.661 0.008 0.366  -0.01
2 O 0.653 0.992 0.866  -0.01
3 O 0.992 0.339 0.134  -0.01
4 O 0.653 0.661 0.634  -0.01
5 Ti 0.333 0.667 0.250  0.07
6 Mo 0.000 0.000 0.500  1.89
7 O 0.008 0.347 0.634  -0.01
8 O 0.339 0.992 0.634  -0.01
9 O 0.661 0.653 0.134  -0.01
10 Ge 0.333 0.667 0.750  0.03
11 Mo 0.000 0.000 0.000  1.89
12 O 0.339 0.347 0.866  -0.01
13 O 0.992 0.653 0.366  -0.01
14 Ge 0.667 0.333 0.250  0.03
15 O 0.347 0.008 0.134  -0.01
16 Ti 0.667 0.333 0.750  0.07
17 O 0.347 0.339 0.366  -0.01
18 O 0.008 0.661 0.866  -0.01

First-principles (PBE with a Hubbard U) data for an optimized crystal structure of TlGeMoO6, as listed in Alexandria.

The value obtained for the total magnetization is 0.0 μB/f.u. The calculation puts the uncorrected energy at -55.624 eV for the cell shown. The value obtained for the density is 6.4 g/cm³.

a = 5.203 Å, b = 5.203 Å, c = 5.177 Å
α = 90.00°, β = 90.00°, γ = 60.00°
Element x y z (fractional)
1 O 0.387 0.996 0.707
2 Tl 0.000 0.000 0.000
3 O 0.996 0.387 0.293
4 Mo 0.333 0.333 0.500
5 O 0.617 0.996 0.293
6 O 0.996 0.617 0.707
7 O 0.617 0.387 0.707
8 O 0.387 0.617 0.293
9 Ge 0.667 0.667 0.500

First-principles (PBE with a Hubbard U) data for an optimized crystal structure of TmGe2MoO8, as listed in Alexandria.

The value obtained for the total magnetization is 1.0 μB/f.u. The calculation puts the uncorrected energy at -84.181 eV for the cell shown. The value obtained for the density is 6.1 g/cm³.

a = 5.748 Å, b = 5.748 Å, c = 5.748 Å
α = 107.14°, β = 107.14°, γ = 114.24°
Each line ends with the local moment (μB).
Element x y z (fractional)
1 O 0.291 0.116 0.825  -0.01
2 Ge 0.500 0.500 0.000  0.00
3 O 0.754 0.061 0.693  0.01
4 O 0.939 0.246 0.307  0.01
5 O 0.884 0.709 0.175  -0.01
6 O 0.368 0.061 0.307  0.01
7 Ge 0.750 0.250 0.500  0.00
8 O 0.534 0.709 0.825  -0.01
9 Tm 0.250 0.750 0.500  0.00
10 O 0.291 0.466 0.175  -0.01
11 O 0.939 0.632 0.693  0.01
12 Mo 0.000 0.000 0.000  1.00

First-principles (PBE with a Hubbard U) data for an optimized crystal structure of UGeMoO6, as listed in Alexandria.

The value obtained for the total magnetization is 4.0 μB/f.u. The calculation puts the uncorrected energy at -145.494 eV for the cell shown. The value obtained for the density is 7.4 g/cm³.

a = 4.837 Å, b = 4.837 Å, c = 9.644 Å
α = 90.00°, β = 90.00°, γ = 90.00°
Each line ends with the local moment (μB).
Element x y z (fractional)
1 Ge 0.000 0.000 0.001  0.03
2 Mo 0.000 0.000 0.666  2.66
3 O 0.686 0.686 0.652  -0.01
4 O 0.314 0.314 0.652  -0.01
5 U 0.000 0.000 0.335  1.23
6 O 0.817 0.183 0.848  -0.02
7 O 0.787 0.213 0.499  -0.02
8 Mo 0.500 0.500 0.166  2.66
9 O 0.213 0.787 0.499  -0.02
10 O 0.713 0.713 0.999  -0.02
11 O 0.186 0.814 0.152  -0.01
12 O 0.317 0.317 0.348  -0.02
13 Ge 0.500 0.500 0.501  0.03
14 O 0.814 0.186 0.152  -0.01
15 O 0.183 0.817 0.848  -0.02
16 U 0.500 0.500 0.835  1.23
17 O 0.683 0.683 0.348  -0.02
18 O 0.287 0.287 0.999  -0.02

First-principles (PBE with a Hubbard U) data for an optimized crystal structure of VGe2MoO8, as listed in Alexandria.

The value obtained for the total magnetization is 3.0 μB/f.u. The calculation puts the uncorrected energy at -81.582 eV for the cell shown. The value obtained for the density is 5.2 g/cm³.

a = 5.606 Å, b = 5.606 Å, c = 5.606 Å
α = 108.12°, β = 108.12°, γ = 112.21°
Each line ends with the local moment (μB).
Element x y z (fractional)
1 O 0.730 0.045 0.685  -0.04
2 O 0.360 0.045 0.315  -0.04
3 O 0.887 0.699 0.188  -0.03
4 Ge 0.500 0.500 0.000  0.01
5 O 0.301 0.113 0.812  -0.03
6 Ge 0.750 0.250 0.500  0.00
7 O 0.301 0.488 0.188  -0.03
8 Mo 0.250 0.750 0.500  1.34
9 O 0.955 0.640 0.685  -0.04
10 V 0.000 0.000 0.000  1.80
11 O 0.512 0.699 0.812  -0.03
12 O 0.955 0.270 0.315  -0.04

First-principles (PBE with a Hubbard U) data for an optimized crystal structure of YGe2MoO8, as listed in Alexandria.

The value obtained for the total magnetization is 1.0 μB/f.u. The calculation puts the uncorrected energy at -85.774 eV for the cell shown. The value obtained for the density is 5.1 g/cm³.

a = 5.788 Å, b = 5.788 Å, c = 5.788 Å
α = 106.94°, β = 106.94°, γ = 114.66°
Each line ends with the local moment (μB).
Element x y z (fractional)
1 Y 0.250 0.750 0.500  0.00
2 O 0.537 0.709 0.827  -0.01
3 Mo 0.000 0.000 0.000  1.01
4 Ge 0.750 0.250 0.500  0.00
5 O 0.291 0.463 0.173  -0.01
6 O 0.291 0.118 0.827  -0.01
7 O 0.882 0.709 0.173  -0.01
8 O 0.759 0.064 0.694  0.01
9 Ge 0.500 0.500 0.000  0.00
10 O 0.370 0.064 0.306  0.01
11 O 0.936 0.630 0.694  0.01
12 O 0.936 0.241 0.306  0.01

First-principles (PBE with a Hubbard U) data for an optimized crystal structure of ZnGeMoO6, as listed in Alexandria.

The value obtained for the total magnetization is 0.0 μB/f.u. The calculation puts the uncorrected energy at -111.394 eV for the cell shown. The value obtained for the density is 5.4 g/cm³.

a = 5.054 Å, b = 5.054 Å, c = 9.098 Å
α = 90.00°, β = 90.00°, γ = 120.00°
Element x y z (fractional)
1 O 0.644 0.640 0.135
2 O 0.640 0.995 0.865
3 O 0.995 0.356 0.135
4 O 0.644 0.005 0.365
5 O 0.356 0.360 0.865
6 Mo 0.667 0.333 0.750
7 O 0.640 0.644 0.635
8 O 0.005 0.644 0.865
9 Zn 0.000 0.000 0.500
10 O 0.995 0.640 0.365
11 O 0.356 0.995 0.635
12 O 0.360 0.356 0.365
13 Zn 0.000 0.000 0.000
14 Ge 0.667 0.333 0.250
15 O 0.005 0.360 0.635
16 O 0.360 0.005 0.135
17 Ge 0.333 0.667 0.750
18 Mo 0.333 0.667 0.250

First-principles (PBE with a Hubbard U) data for an optimized crystal structure of ZrGeMoO6, as listed in Alexandria.

The value obtained for the total magnetization is 2.0 μB/f.u. The calculation puts the uncorrected energy at -139.097 eV for the cell shown. The value obtained for the density is 5.6 g/cm³.

a = 4.734 Å, b = 4.734 Å, c = 9.412 Å
α = 90.00°, β = 90.00°, γ = 90.00°
Each line ends with the local moment (μB).
Element x y z (fractional)
1 O 0.314 0.314 0.676  0.00
2 O 0.686 0.686 0.676  0.00
3 Ge 0.500 0.500 0.833  0.04
4 O 0.307 0.307 0.988  -0.01
5 O 0.788 0.212 0.834  0.02
6 O 0.693 0.693 0.988  -0.01
7 O 0.807 0.193 0.488  -0.01
8 O 0.712 0.712 0.334  0.02
9 Zr 0.500 0.500 0.171  0.04
10 O 0.814 0.186 0.176  0.00
11 O 0.212 0.788 0.834  0.02
12 Zr 0.000 0.000 0.671  0.04
13 O 0.288 0.288 0.334  0.02
14 Ge 0.000 0.000 0.333  0.04
15 Mo 0.500 0.500 0.499  1.85
16 O 0.193 0.807 0.488  -0.01
17 Mo 0.000 0.000 0.999  1.85
18 O 0.186 0.814 0.176  0.00

First-principles (PBE with a Hubbard U) data for an optimized crystal structure of ZrGe2MoO8, as listed in Alexandria.

The value obtained for the total magnetization is 2.0 μB/f.u. The calculation puts the uncorrected energy at -87.730 eV for the cell shown. The value obtained for the density is 5.3 g/cm³.

a = 5.732 Å, b = 5.732 Å, c = 5.732 Å
α = 107.80°, β = 107.80°, γ = 112.86°
Each line ends with the local moment (μB).
Element x y z (fractional)
1 O 0.738 0.052 0.686  0.00
2 O 0.304 0.489 0.185  -0.03
3 O 0.948 0.634 0.686  0.00
4 Mo 0.000 0.000 0.000  2.02
5 O 0.366 0.052 0.314  0.00
6 O 0.948 0.262 0.314  0.00
7 Ge 0.750 0.250 0.500  0.00
8 Zr 0.250 0.750 0.500  0.03
9 O 0.880 0.696 0.185  -0.03
10 Ge 0.500 0.500 0.000  0.01
11 O 0.511 0.696 0.815  -0.03
12 O 0.304 0.120 0.815  -0.03